The following is a DFT calculation (PBE+U) of a relaxed VIrPt2O crystal.

- Calculated total energy: -5.078 eV per atom

Cell and atoms, written as CIF:
```
data_VIrPt2O
_chemical_formula_sum 'V1 Ir1 Pt2 O1'
_symmetry_space_group_name_H-M 'P 1'
_symmetry_Int_Tables_number 1
_symmetry_space_group_name_Hall 'P 1'
_cell_length_a 4.763
_cell_length_b 5.191
_cell_length_c 4.763
_cell_angle_alpha 90.00
_cell_angle_beta 90.00
_cell_angle_gamma 90.00
loop_
_atom_site_label
_atom_site_type_symbol
_atom_site_fract_x
_atom_site_fract_y
_atom_site_fract_z
Ir1 Ir 0.000 0.000 0.000
O1 O 0.500 0.500 0.500
Pt1 Pt 0.000 0.000 0.500
Pt2 Pt 0.500 0.000 0.000
V1 V 0.000 0.500 0.000
```